# NaAc2Si3Pd12

An optimized crystal structure of NaAc2Si3Pd12 (PBE, Alexandria via LeMat-Bulk).

Summary:
Formation energy (no corrections), eV/atom: -0.412

The structure in CIF format:
```
data_NaAc2Si3Pd12
_chemical_formula_sum 'Na3 Ac6 Si9 Pd36'
_cell_length_a 9.2913
_cell_length_b 9.2913
_cell_length_c 13.3526
_cell_angle_alpha 90.00
_cell_angle_beta 90.00
_cell_angle_gamma 120.00
_symmetry_space_group_name_H-M 'R -3 m'
_symmetry_Int_Tables_number 166
_symmetry_space_group_name_Hall '-R 3 2"'
loop_
_atom_site_label
_atom_site_fract_x
_atom_site_fract_y
_atom_site_fract_z
_atom_site_occupancy
Na1 0.0000 0.0000 0.0000 1
Ac1 0.0000 0.0000 0.3678 1
Si1 0.0000 0.5000 0.5000 1
Pd1 0.0008 0.5004 0.6760 1
Pd2 0.0389 0.5194 0.8805 1
```

# Sc4ZnCd

An optimized crystal structure of Sc4ZnCd (PBE, Alexandria via LeMat-Bulk).

Summary:
Energy relative to the lowest polymorph listed for this composition, eV/atom: 0.306
Calculated formation energy, eV/atom: 0.104

The structure in CIF format:
```
data_Sc4ZnCd
_chemical_formula_sum 'Sc12 Zn3 Cd3'
_cell_length_a 4.7234
_cell_length_b 4.7234
_cell_length_c 23.2436
_cell_angle_alpha 90.00
_cell_angle_beta 90.00
_cell_angle_gamma 120.00
_symmetry_space_group_name_H-M 'R -3 m'
_symmetry_Int_Tables_number 166
_symmetry_space_group_name_Hall '-R 3 2"'
loop_
_atom_site_label
_atom_site_fract_x
_atom_site_fract_y
_atom_site_fract_z
_atom_site_occupancy
Sc1 0.0000 0.0000 0.1200 1
Sc2 0.0000 0.0000 0.3706 1
Zn1 0.0000 0.0000 0.0000 1
Cd1 0.0000 0.0000 0.5000 1
```

# SmAlZn4Pd2

An optimized crystal structure of SmAlZn4Pd2 (PBE, Alexandria via LeMat-Bulk).

Summary:
Calculated formation energy, eV/atom: -0.371

The structure in CIF format:
```
data_SmAlZn4Pd2
_chemical_formula_sum 'Sm3 Al3 Zn12 Pd6'
_cell_length_a 4.3315
_cell_length_b 4.3315
_cell_length_c 25.9837
_cell_angle_alpha 90.00
_cell_angle_beta 90.00
_cell_angle_gamma 120.00
_symmetry_space_group_name_H-M 'R -3 m'
_symmetry_Int_Tables_number 166
_symmetry_space_group_name_Hall '-R 3 2"'
loop_
_atom_site_label
_atom_site_fract_x
_atom_site_fract_y
_atom_site_fract_z
_atom_site_occupancy
Sm1 0.0000 0.0000 0.0000 1
Al1 0.0000 0.0000 0.5000 1
Zn1 0.0000 0.0000 0.1272 1
Zn2 0.0000 0.0000 0.3990 1
Pd1 0.0000 0.0000 0.2331 1
```

| no. | final energy (eV per formula unit) | DOS(E_F) (states/eV per atom) |
| --- | --- | --- |
| 1 | -95.53 | 0.425 |
| 2 | -26.89 | 1.273 |
| 3 | -26.91 | 0.464 |